[1]
Density functional theory data (PBE) for crystalline CaInTc4 at its relaxed geometry. Values from VASP.

Structure (Quantum ESPRESSO input):
```
&SYSTEM
  ibrav = 0, nat = 6, ntyp = 3
/
ATOMIC_SPECIES
Tc 98.00 Tc.upf
In 114.82 In.upf
Ca 40.08 Ca.upf
CELL_PARAMETERS angstrom
0.026 -1.135 5.198
2.347 3.316 3.435
-2.954 2.874 3.365
ATOMIC_POSITIONS angstrom
Tc -0.217 1.893 4.492
Tc -1.701 3.336 6.182
Tc -0.205 1.323 7.103
Tc 0.962 3.558 6.217
In 0.000 0.000 0.000
Ca -0.436 3.791 8.998
```

## Properties
The magnetization is 0.0 μB/cell. The value obtained for the formation energy is 0.23 eV per atom.

***

[2]
Density functional theory data (PBE) for crystalline TbIn2Au8 at its relaxed geometry. Values from VASP.

Structure (Quantum ESPRESSO input):
```
&SYSTEM
  ibrav = 0, nat = 11, ntyp = 3
/
ATOMIC_SPECIES
Au 196.97 Au.upf
In 114.82 In.upf
Tb 158.93 Tb.upf
CELL_PARAMETERS angstrom
4.572 0.000 -1.314
-1.038 7.214 -3.609
-0.339 -1.137 7.431
ATOMIC_POSITIONS angstrom
Au 1.125 0.078 3.913
Au 3.841 0.289 4.752
Au 0.376 1.609 1.307
Au 2.129 2.937 -1.202
Au 2.071 5.998 -1.405
Au -0.645 5.787 -2.245
Au 1.066 3.139 3.709
Au 2.820 4.467 1.201
In 3.133 1.744 2.289
In 0.063 4.333 0.218
Tb 2.286 0.000 -0.657
```

## Properties
The calculation puts the polymorph energy (0 for the lowest one) at 0 meV per atom. The magnetization is 0.0 μB/cell. The value obtained for the formation energy is -0.31 eV per atom.

***

[3]
Density functional theory data (PBE) for crystalline ZnHSe2 at its relaxed geometry. Values from VASP.

Structure (Quantum ESPRESSO input):
```
&SYSTEM
  ibrav = 0, nat = 4, ntyp = 3
/
ATOMIC_SPECIES
Zn 65.41 Zn.upf
Se 78.96 Se.upf
H 1.01 H.upf
CELL_PARAMETERS angstrom
0.000 3.174 3.174
3.174 0.000 3.174
3.174 3.174 0.000
ATOMIC_POSITIONS angstrom
Zn 3.174 3.174 3.174
Se 1.587 1.587 1.587
Se 4.761 4.761 4.761
H 0.000 0.000 0.000
```

## Properties
The calculation puts the polymorph energy (0 for the lowest one) at 645 meV per atom. The magnetization is 0.6 μB/cell.

***

[4]
Density functional theory data (PBE) for crystalline CeHoCd5 at its relaxed geometry. Values from VASP.

Structure (Quantum ESPRESSO input):
```
&SYSTEM
  ibrav = 0, nat = 7, ntyp = 3
/
ATOMIC_SPECIES
Cd 112.41 Cd.upf
Ho 164.93 Ho.upf
Ce 140.12 Ce.upf
CELL_PARAMETERS angstrom
5.553 -0.205 -0.471
-2.001 5.184 -0.470
-0.588 -0.824 6.717
ATOMIC_POSITIONS angstrom
Cd 0.761 4.494 0.898
Cd 2.203 -0.340 4.878
Cd 4.002 2.182 0.898
Cd -1.038 1.972 4.878
Cd -0.294 -0.412 3.358
Ho 1.482 2.077 2.888
Ce 0.000 0.000 0.000
```

## Properties
The magnetization is 1.0 μB/cell. The value obtained for the formation energy is -0.05 eV per atom.

***

[5]
Density functional theory data (PBE) for crystalline ErLuAgPb at its relaxed geometry. Values from VASP.

Structure (Quantum ESPRESSO input):
```
&SYSTEM
  ibrav = 0, nat = 4, ntyp = 4
/
ATOMIC_SPECIES
Lu 174.97 Lu.upf
Er 167.26 Er.upf
Pb 207.20 Pb.upf
Ag 107.87 Ag.upf
CELL_PARAMETERS angstrom
5.218 0.000 0.000
2.609 4.519 0.000
2.609 1.506 4.261
ATOMIC_POSITIONS angstrom
Lu 5.218 3.013 2.130
Er 0.000 0.000 0.000
Pb 7.827 4.519 3.195
Ag 2.609 1.506 1.065
```

## Properties
The magnetization is 0.4 μB/cell. The value obtained for the formation energy is -0.34 eV per atom.

***

[6]
Density functional theory data (PBE) for crystalline Li5PdPb at its relaxed geometry. Values from VASP.

Structure (Quantum ESPRESSO input):
```
&SYSTEM
  ibrav = 0, nat = 7, ntyp = 3
/
ATOMIC_SPECIES
Pd 106.42 Pd.upf
Pb 207.20 Pb.upf
Li 6.94 Li.upf
CELL_PARAMETERS angstrom
-3.716 -0.598 -0.960
0.970 -3.379 -1.651
-1.249 -3.910 7.270
ATOMIC_POSITIONS angstrom
Pd -1.997 -3.943 2.329
Pb 0.000 0.000 0.000
Li -2.779 -3.182 4.881
Li -0.624 -1.955 3.635
Li -3.558 -3.314 0.123
Li -0.436 -4.573 4.536
Li -1.215 -4.705 -0.222
```

## Properties
The calculation puts the polymorph energy (0 for the lowest one) at 0 meV per atom. The magnetization is 0.0 μB/cell. The value obtained for the formation energy is -0.21 eV per atom.

***

[7]
Density functional theory data (PBE) for crystalline Ac2Sm3Co2 at its relaxed geometry. Values from VASP.

Structure (Quantum ESPRESSO input):
```
&SYSTEM
  ibrav = 0, nat = 7, ntyp = 3
/
ATOMIC_SPECIES
Co 58.93 Co.upf
Sm 150.36 Sm.upf
Ac 227.00 Ac.upf
CELL_PARAMETERS angstrom
3.724 0.000 0.994
1.503 6.154 1.842
-0.376 0.271 8.880
ATOMIC_POSITIONS angstrom
Co 3.132 0.703 3.213
Co 1.719 5.722 8.504
Sm 2.495 5.192 5.597
Sm 2.356 1.233 6.120
Sm 1.862 0.000 0.497
Ac 1.239 2.847 2.833
Ac 3.613 3.578 8.884
```

## Properties
The magnetization is 0.0 μB/cell. The value obtained for the formation energy is -0.05 eV per atom.

***

[8]
Density functional theory data (PBE) for crystalline ErTm6Pb at its relaxed geometry. Values from VASP.

Structure (Quantum ESPRESSO input):
```
&SYSTEM
  ibrav = 0, nat = 8, ntyp = 3
/
ATOMIC_SPECIES
Tm 168.93 Tm.upf
Pb 207.20 Pb.upf
Er 167.26 Er.upf
CELL_PARAMETERS angstrom
4.857 0.000 0.000
0.000 6.911 -0.776
0.000 0.781 6.910
ATOMIC_POSITIONS angstrom
Tm 0.000 5.396 1.124
Tm 0.000 5.789 4.618
Tm 2.429 0.390 3.455
Tm 0.000 1.902 1.517
Tm 2.429 3.455 -0.388
Tm 0.000 2.296 5.011
Pb 2.429 3.846 3.067
Er 2.429 0.000 0.000
```

## Properties
The magnetization is 0.0 μB/cell. The value obtained for the formation energy is -0.08 eV per atom.

***

[9]
Density functional theory data (PBE) for crystalline Ta2Ni at its relaxed geometry. Values from VASP.

Structure (Quantum ESPRESSO input):
```
&SYSTEM
  ibrav = 0, nat = 6, ntyp = 2
/
ATOMIC_SPECIES
Ta 180.95 Ta.upf
Ni 58.69 Ni.upf
CELL_PARAMETERS angstrom
3.315 5.216 -1.600
-4.263 -4.362 -1.882
-3.123 2.428 1.446
ATOMIC_POSITIONS angstrom
Ta -2.252 2.961 -0.636
Ta 0.571 3.342 -1.311
Ta -1.819 0.321 -1.401
Ta -4.643 -0.060 -0.725
Ni 0.393 6.304 -0.537
Ni -4.464 -3.022 -1.499
```

## Properties
The magnetization is 0.0 μB/cell. The value obtained for the formation energy is -0.01 eV per atom.

***

[10]
Density functional theory data (PBE) for crystalline ScAu3S at its relaxed geometry. Values from VASP.

Structure (Quantum ESPRESSO input):
```
&SYSTEM
  ibrav = 0, nat = 5, ntyp = 3
/
ATOMIC_SPECIES
Au 196.97 Au.upf
Sc 44.96 Sc.upf
S 32.06 S.upf
CELL_PARAMETERS angstrom
-0.422 -4.521 1.510
-1.091 -1.384 -4.448
4.640 -0.736 -0.909
ATOMIC_POSITIONS angstrom
Au 2.320 -0.368 -0.455
Au -0.211 -2.260 0.755
Au -0.546 -0.692 -2.224
Sc 1.563 -3.321 -1.924
S 0.000 0.000 0.000
```

## Properties
The calculation puts the polymorph energy (0 for the lowest one) at 0 meV per atom. The magnetization is 0.0 μB/cell. The value obtained for the formation energy (no corrections) is 0.255 eV/atom.

***

[11]
Density functional theory data (PBE) for crystalline AlCuHg2 at its relaxed geometry. Values from VASP.

Structure (Quantum ESPRESSO input):
```
&SYSTEM
  ibrav = 0, nat = 4, ntyp = 3
/
ATOMIC_SPECIES
Hg 200.59 Hg.upf
Cu 63.55 Cu.upf
Al 26.98 Al.upf
CELL_PARAMETERS angstrom
3.069 0.183 0.000
-1.095 2.873 0.000
0.000 0.000 8.669
ATOMIC_POSITIONS angstrom
Hg 0.000 0.000 8.532
Hg 0.000 0.000 4.472
Cu 0.987 1.528 6.502
Al 0.987 1.528 2.167
```

## Properties
The magnetization is 0.0 μB/cell. The value obtained for the formation energy is 0.26 eV per atom.

***

[12]
Density functional theory data (PBE) for crystalline Ba2TlCo at its relaxed geometry. Values from VASP.

Structure (Quantum ESPRESSO input):
```
&SYSTEM
  ibrav = 0, nat = 4, ntyp = 3
/
ATOMIC_SPECIES
Tl 204.38 Tl.upf
Ba 137.33 Ba.upf
Co 58.93 Co.upf
CELL_PARAMETERS angstrom
6.734 0.101 0.009
3.016 6.021 -0.009
-4.217 -4.110 3.269
ATOMIC_POSITIONS angstrom
Tl 2.443 2.867 1.630
Ba 3.251 -0.754 1.639
Ba 0.174 0.109 0.000
Co 4.541 2.851 0.000
```

## Properties
The magnetization is 1.1 μB/cell. The value obtained for the formation energy is 0.17 eV per atom.